This record from Alexandria describes TiInTc2Ru after structural relaxation. The functional is PBE-GGA.

Lattice parameters (Å, degrees): 5.0616 5.0616 5.0144 90.00 90.00 90.00
Closest atoms and distances in Å follow each position.
Sites, in units of the cell vectors:
Ti 0.0000 0.0000 0.0000  8 Tc 3.56, 4 Ru 3.58
In 0.5000 0.5000 0.5000  2 Ru 2.51, 4 Tc 2.53
Tc 0.0000 0.5000 0.5000  2 In 2.53
Tc 0.5000 0.0000 0.5000  2 In 2.53
Ru 0.5000 0.5000 0.0000  2 In 2.51

## Properties
For the formation energy from the elements, the calculation gives 2.141 eV per atom. As for the density of states at the Fermi level: 7.19 states/eV/cell. As for the calculated density: 5.94 g/cm3. As for the total magnetic moment: 4.9 μB/f.u.